1.
# Sr6Cd5Ag PBE optimized geometry
# Uncorrected energy = -1.78 eV/atom
# DFT formation energy = -0.32 eV per atom
data_Sr6Cd5Ag
_chemical_formula_sum 'Sr12 Cd10 Ag2'
_cell_length_a 5.751
_cell_length_b 17.248
_cell_length_c 7.955
_cell_angle_alpha 90.00
_cell_angle_beta 90.00
_cell_angle_gamma 90.00
_symmetry_space_group_name_H-M 'C m m m'
_symmetry_Int_Tables_number 65
_symmetry_space_group_name_Hall '-C 2 2'
loop_
_atom_site_label
_atom_site_fract_x
_atom_site_fract_y
_atom_site_fract_z
Sr1 0.000 0.000 0.245
Sr2 0.000 0.336 0.248
Cd1 0.000 0.167 0.500
Cd2 0.000 0.171 0.000
Cd3 0.000 0.500 0.500
Ag1 0.000 0.500 0.000

2.
# GeBOF2 PBE optimized geometry
# Uncorrected energy = -4.44 eV/atom
# E above lowest polymorph = 820 meV per atom
# Formation energy from raw total energies = -0.44 eV/atom
data_GeBOF2
_chemical_formula_sum 'Ge1 B1 O1 F2'
_cell_length_a 4.165
_cell_length_b 4.165
_cell_length_c 3.738
_cell_angle_alpha 90.00
_cell_angle_beta 90.00
_cell_angle_gamma 90.00
_symmetry_space_group_name_H-M 'P 4/m m m'
_symmetry_Int_Tables_number 123
_symmetry_space_group_name_Hall '-P 4 2'
loop_
_atom_site_label
_atom_site_fract_x
_atom_site_fract_y
_atom_site_fract_z
Ge1 0.000 0.000 0.000
B1 0.500 0.500 0.500
O1 0.000 0.000 0.500
F1 0.000 0.500 0.000

3.
# UNi6Sb PBE optimized geometry
# Uncorrected energy = -6.41 eV/atom
# Formation energy from raw total energies = -0.15 eV/atom
data_UNi6Sb
_chemical_formula_sum 'U1 Ni6 Sb1'
_cell_length_a 5.3050
_cell_length_b 5.3050
_cell_length_c 4.3922
_cell_angle_alpha 90.00
_cell_angle_beta 90.00
_cell_angle_gamma 120.00
_symmetry_space_group_name_H-M 'P -6 m 2'
_symmetry_Int_Tables_number 187
_symmetry_space_group_name_Hall 'P -6 2'
loop_
_atom_site_label
_atom_site_fract_x
_atom_site_fract_y
_atom_site_fract_z
U1 0.0000 0.0000 0.0000
Ni1 0.0122 0.5061 0.0000
Ni2 0.1744 0.3488 0.5000
Sb1 0.6667 0.3333 0.5000

4.
# CeGeTe PBE optimized geometry
# Uncorrected energy = -5.33 eV/atom
# Formation energy from raw total energies = -0.77 eV/atom
data_CeGeTe
_chemical_formula_sum 'Ce4 Ge4 Te4'
_cell_length_a 9.123
_cell_length_b 9.123
_cell_length_c 4.439
_cell_angle_alpha 90.00
_cell_angle_beta 90.00
_cell_angle_gamma 90.00
_symmetry_space_group_name_H-M 'P 42/m'
_symmetry_Int_Tables_number 84
_symmetry_space_group_name_Hall '-P 4c'
loop_
_atom_site_label
_atom_site_fract_x
_atom_site_fract_y
_atom_site_fract_z
Ce1 0.098 0.328 0.000
Ge1 0.057 0.122 0.500
Te1 0.189 0.574 0.500

5.
# LaSb3 PBE optimized geometry
# Uncorrected energy = -4.60 eV/atom
# Formation energy from raw total energies = -0.28 eV/atom
data_LaSb3
_chemical_formula_sum 'La2 Sb6'
_cell_length_a 4.560
_cell_length_b 5.936
_cell_length_c 8.836
_cell_angle_alpha 90.00
_cell_angle_beta 90.00
_cell_angle_gamma 90.00
_symmetry_space_group_name_H-M 'C m m m'
_symmetry_Int_Tables_number 65
_symmetry_space_group_name_Hall '-C 2 2'
loop_
_atom_site_label
_atom_site_fract_x
_atom_site_fract_y
_atom_site_fract_z
La1 0.000 0.000 0.000
Sb1 0.000 0.000 0.500
Sb2 0.000 0.500 0.252

6.
# CuHgN3 PBE optimized geometry
# Uncorrected energy = -3.72 eV/atom
# Formation energy from raw total energies = 2.16 eV/atom
data_CuHgN3
_chemical_formula_sum 'Cu1 Hg1 N3'
_cell_length_a 3.847
_cell_length_b 3.847
_cell_length_c 3.847
_cell_angle_alpha 90.00
_cell_angle_beta 90.00
_cell_angle_gamma 90.00
_symmetry_space_group_name_H-M 'P m -3 m'
_symmetry_Int_Tables_number 221
_symmetry_space_group_name_Hall '-P 4 2 3'
loop_
_atom_site_label
_atom_site_fract_x
_atom_site_fract_y
_atom_site_fract_z
Cu1 0.000 0.000 0.000
Hg1 0.500 0.500 0.500
N1 0.000 0.000 0.500

Q: Which formula does entry 4 have?
A: CeGeTe

Q: Which value of uncorrected energy does entry 3 give?
A: -6.41 eV/atom